No. 1
KRb4Br5: optimized geometry, PBE.

## Properties
Size of the total moment in Bohr magnetons per cell: 0.0
Space group: Immm (71)
Energy in eV/atom: -3.080
Formation energy from raw total energies in meV per atom: -1746.8

Cell and atoms, written as extended XYZ:
```
10
Lattice="-4.013 1.485 2.401 -3.985 -2.524 -5.101 3.454 -10.299 7.129" Properties=species:S:1:pos:R:3 pbc="T T T"
K 0.000 0.000 0.000
Rb -0.437 -8.669 4.630
Rb -4.329 -7.058 2.142
Rb -0.216 -4.280 2.286
Rb -4.108 -2.670 -0.202
Br -2.110 -1.314 2.299
Br -2.333 -5.734 4.660
Br -2.212 -5.604 -0.231
Br -1.993 -1.262 -2.551
Br -2.434 -10.024 2.130
```

---

No. 2
BeAl2Cu: optimized geometry, PBE.

## Properties
Formation energy from the elements in eV per formula unit: -0.20
Size of the total moment in Bohr magnetons per cell: 0.0
Space group: Pm (6)
Energy in eV/atom: -3.877

Cell and atoms, written as extended XYZ:
```
4
Lattice="3.830 0.000 0.000 0.000 3.029 0.010 0.000 1.534 4.550" Properties=species:S:1:pos:R:3 pbc="T T T"
Be 0.000 2.848 2.206
Al 0.000 4.363 4.304
Al 1.915 1.343 1.421
Cu 1.915 2.855 3.467
```

---

No. 3
La5Pb: optimized geometry, PBE.

## Properties
Formation energy from the elements in eV per formula unit: -1.10
Size of the total moment in Bohr magnetons per cell: 0.0
Space group: P-62m (189)
Energy in eV/atom: -4.907
Polymorph energy (0 for the lowest one) in meV per atom: 40.3

Cell and atoms, written as extended XYZ:
```
6
Lattice="6.286 0.000 0.000 -3.143 5.444 0.000 0.000 0.000 6.002" Properties=species:S:1:pos:R:3 pbc="T T T"
La 0.171 0.000 0.000
La 3.058 1.666 0.000
La -0.086 3.778 0.000
La -1.048 1.815 3.001
La 2.095 3.629 3.001
Pb 2.095 0.000 3.001
```

---

No. 4
TaV2Cr: optimized geometry, PBE.

## Properties
Formation energy from the elements in eV per formula unit: 2.13
Size of the total moment in Bohr magnetons per cell: 0.0
Space group: C2/m (12)
Energy in eV/atom: -9.395
Polymorph energy (0 for the lowest one) in meV per atom: 522.7

Cell and atoms, written as extended XYZ:
```
4
Lattice="2.793 0.000 -0.174 0.000 4.871 0.000 -0.343 -2.435 4.487" Properties=species:S:1:pos:R:3 pbc="T T T"
Ta 1.397 2.435 -0.087
V 2.164 2.435 2.446
V 0.287 0.000 1.868
Cr 1.397 0.000 -0.087
```

---

No. 5
Sm6C2SCl3: optimized geometry, PBE.

## Properties
Size of the total moment in Bohr magnetons per cell: 0.0
Space group: C2/m (12)
Energy in eV/atom: -5.990
Formation energy from raw total energies in meV per atom: -1287.7

Cell and atoms, written as extended XYZ:
```
12
Lattice="-0.770 2.830 -5.971 -0.278 -6.619 0.607 -6.511 1.649 2.856" Properties=species:S:1:pos:R:3 pbc="T T T"
Sm -6.127 0.134 -2.932
Sm -2.012 -2.370 -3.253
Sm -1.432 -2.274 0.424
Sm -5.952 -3.220 -0.597
Sm -5.547 0.229 0.745
Sm -1.607 1.080 -1.912
C -0.442 -3.468 -1.587
C -0.606 -0.322 -3.777
S 0.000 0.000 0.000
Cl -3.616 -4.221 0.939
Cl -3.944 2.081 -3.448
Cl -3.780 -1.070 -1.254
```

---

No. 6
YHoEr2: optimized geometry, PBE.

## Properties
Formation energy from the elements in eV per formula unit: 0.56
Size of the total moment in Bohr magnetons per cell: 0.2
Space group: Fm-3m (225)
Energy in eV/atom: -4.901
Polymorph energy (0 for the lowest one) in meV per atom: 136.1

Cell and atoms, written as extended XYZ:
```
4
Lattice="-3.413 2.602 -3.653 -3.491 -3.018 -3.236 -5.554 0.148 0.946" Properties=species:S:1:pos:R:3 pbc="T T T"
Y -6.229 -0.134 -2.972
Ho 0.000 0.000 0.000
Er -3.115 -0.067 -1.486
Er -9.344 -0.201 -4.458
```

---

No. 7
LiCdRh2: optimized geometry, PBE.

## Properties
Formation energy from the elements in eV per formula unit: -0.34
Size of the total moment in Bohr magnetons per cell: 0.2
Space group: Pmmm (47)
Energy in eV/atom: -4.467

Cell and atoms, written as extended XYZ:
```
4
Lattice="-0.321 -0.944 2.733 4.473 0.725 0.775 -0.925 4.253 1.361" Properties=species:S:1:pos:R:3 pbc="T T T"
Cd -0.623 1.654 2.047
Li 1.774 2.489 1.068
Rh 0.000 0.000 0.000
Rh 2.076 -0.110 1.754
```

---

No. 8
KSnSe2Br: optimized geometry, PBE.

## Properties
Size of the total moment in Bohr magnetons per cell: 1.9
Space group: P4/mmm (123)
Energy in eV/atom: -2.374
Formation energy from raw total energies in meV per atom: 375.0
Polymorph energy (0 for the lowest one) in meV per atom: 979.5

Cell and atoms, written as extended XYZ:
```
5
Lattice="5.717 0.000 0.000 0.000 5.717 0.000 0.000 0.000 5.686" Properties=species:S:1:pos:R:3 pbc="T T T"
K 0.000 0.000 0.000
Se 0.000 2.859 0.000
Se 2.859 0.000 0.000
Sn 2.859 2.859 2.843
Br 0.000 0.000 2.843
```

---

No. 9
Ce3Th2Se8: optimized geometry, PBE.

## Properties
Size of the total moment in Bohr magnetons per cell: 3.8
Space group: Cmmm (65)
Energy in eV/atom: -6.345
Formation energy from raw total energies in meV per atom: -1690.3

Cell and atoms, written as extended XYZ:
```
13
Lattice="5.012 0.000 0.000 0.000 8.708 -5.006 0.000 -0.810 8.674" Properties=species:S:1:pos:R:3 pbc="T T T"
Ce 2.506 0.000 0.000
Ce 0.000 1.549 7.318
Ce 0.000 6.350 -3.650
Th 2.506 1.836 3.197
Th 2.506 6.062 0.471
Se 0.000 5.275 -0.901
Se 5.012 2.624 4.570
Se 5.012 0.862 1.500
Se 0.000 7.037 2.168
Se 2.506 4.884 3.343
Se 2.506 0.428 5.905
Se 2.506 7.471 -2.236
Se 2.506 3.015 0.325
```

---

No. 10
BeCuI2N: optimized geometry, PBE.

## Properties
Size of the total moment in Bohr magnetons per cell: 1.4
Space group: P4/mmm (123)
Energy in eV/atom: -3.269
Formation energy from raw total energies in meV per atom: 580.7
Polymorph energy (0 for the lowest one) in meV per atom: 0.0

Cell and atoms, written as extended XYZ:
```
5
Lattice="5.854 0.000 0.000 0.000 5.854 0.000 0.000 0.000 3.114" Properties=species:S:1:pos:R:3 pbc="T T T"
I 0.000 2.927 0.000
I 2.927 0.000 0.000
Be 0.000 0.000 0.000
Cu 2.927 2.927 1.557
N 0.000 0.000 1.557
```

---

No. 11
Er6CuSe5: optimized geometry, PBE.

## Properties
Size of the total moment in Bohr magnetons per cell: 0.0
Space group: C2/m (12)
Energy in eV/atom: -5.567
Formation energy from raw total energies in meV per atom: -1492.6

Cell and atoms, written as extended XYZ:
```
12
Lattice="-3.108 5.938 -2.056 4.999 -2.885 -3.980 -5.214 -4.529 -1.200" Properties=species:S:1:pos:R:3 pbc="T T T"
Se -4.294 2.127 -2.994
Se -0.392 2.982 -2.701
Se -1.662 -0.738 -3.618
Se 2.282 0.071 -3.335
Se 0.971 -3.603 -4.243
Cu 0.000 0.000 0.000
Er -2.075 1.047 -1.410
Er -3.819 0.274 -5.216
Er -3.506 -2.713 -2.334
Er 0.183 1.237 -4.903
Er 0.496 -1.750 -2.020
Er -1.248 -2.523 -5.826
```

---

No. 12
TaNb6Pd2: optimized geometry, PBE.

## Properties
Formation energy from the elements in eV per formula unit: 0.22
Size of the total moment in Bohr magnetons per cell: 0.0
Space group: P-1 (2)
Energy in eV/atom: -9.160

Cell and atoms, written as extended XYZ:
```
9
Lattice="5.001 1.002 -0.303 0.797 6.272 -1.722 0.030 0.108 5.344" Properties=species:S:1:pos:R:3 pbc="T T T"
Ta 0.000 0.000 0.000
Nb 3.713 0.895 2.393
Nb 2.116 6.487 0.926
Nb 1.669 3.585 2.427
Nb 2.222 1.799 -0.135
Nb 3.608 5.583 3.454
Nb 4.160 3.797 0.892
Pd 4.609 3.213 3.564
Pd 1.220 4.169 -0.245
```